VASP calculation (PBE-GGA) on crystalline Na2ZnRhF6 at its relaxed geometry.

Unit cell a=5.5300 b=5.6929 c=5.7348 alpha=118.21 beta=90.09 gamma=118.44
Last column: nearest neighbours and their distance in Å.
Positions (direct):
Na 0.0000 0.0000 0.0000  5 F 2.26-2.47
Na 0.4949 0.9941 0.4925  5 F 2.25-2.51
Zn 0.2149 0.4379 0.6460  6 F 1.97-2.15
Rh 0.7119 0.4312 0.1368  4 F 2.07-2.09
F 0.0957 0.9856 0.3937  1 Zn 2.00
F 0.3262 0.8834 0.8385  1 Zn 1.97
F 0.4478 0.5272 0.3696  1 Rh 2.07, 1 Zn 2.14, 1 Na 2.28
F 0.5774 0.5363 0.8797  1 Rh 2.08, 1 Zn 2.08, 1 Na 2.30
F 0.8442 0.3005 0.3684  1 Rh 2.07, 1 Zn 2.15, 1 Na 2.29
F 0.9481 0.3059 0.8747  1 Zn 2.08, 1 Rh 2.09, 1 Na 2.30

Uncorrected formation energy ... -2.1154 eV per atom
Space-group type ... P1 (1)
Crystal system ... triclinic
Calculated total energy ... -4.36 eV per atom